## SrZn2GaSi (GGA-PBE)

Data for a geometry-optimized SrZn2GaSi structure.

Structure (POSCAR):
```
SrZn2GaSi
1.0
-2.1454 2.1454 5.3954
2.1454 -2.1454 5.3954
2.1454 2.1454 -5.3954
Ga Si Sr Zn
1 1 1 2
Direct
0.6149 0.6149 0.0000
0.3832 0.3832 0.0000
0.9985 0.9985 0.0000
0.7517 0.2517 0.5000
0.2517 0.7517 0.5000
```

Calculated values
The space group is I4mm (107). The total DFT energy (no corrections) is -2.88 eV per atom. The density is 5.29 g cm⁻³.


## Ta4GaSi (GGA-PBE)

Data for a geometry-optimized Ta4GaSi structure.

Structure (POSCAR):
```
Ta4GaSi
1.0
-3.1274 3.1274 2.5538
3.1274 -3.1274 2.5538
3.1274 3.1274 -2.5538
Ga Si Ta
1 1 4
Direct
0.0000 0.0000 0.0000
0.5000 0.5000 0.0000
0.5900 0.0900 0.1799
0.4100 0.5900 0.5000
0.0900 0.9100 0.5000
0.9100 0.4100 0.8201
```

Calculated values
For the size of the total moment, the calculation gives 0.00 Bohr magnetons per cell. The space group is I422 (97). The total DFT energy (no corrections) is -9.70 eV per atom. The density is 13.65 g cm⁻³.


## Ta4GaSi (GGA-PBE)

Data for a geometry-optimized Ta4GaSi structure.

Structure (POSCAR):
```
Ta4GaSi
1.0
-4.5103 4.2998 0.4952
-3.1860 -2.8141 -4.5834
-2.3936 -2.9080 3.4493
Ga Si Ta
2 2 8
Direct
0.0000 0.0000 0.2500
0.0000 0.0000 0.7500
0.5000 0.5000 0.2500
0.5000 0.5000 0.7500
0.3472 0.1663 0.0000
0.8337 0.3472 0.0000
0.1663 0.6528 0.0000
0.6528 0.8337 0.0000
0.6528 0.1663 0.5000
0.1663 0.3472 0.5000
0.8337 0.6528 0.5000
0.3472 0.8337 0.5000
```

Calculated values
For the size of the total moment, the calculation gives 0.00 Bohr magnetons per cell. The space group is P4/mcc (124). The total DFT energy (no corrections) is -9.72 eV per atom. The density is 13.67 g cm⁻³.


## TbTmGa3Si2 (GGA-PBE)

Data for a geometry-optimized TbTmGa3Si2 structure.

Structure (POSCAR):
```
TbTmGa3Si2
1.0
5.1159 -2.0233 0.0000
5.1159 2.0233 0.0000
-1.2698 0.0000 6.4625
Ga Si Tb Tm
3 2 1 1
Direct
0.6962 0.6962 0.3615
0.0017 0.0017 0.5019
0.3033 0.3033 0.6411
0.0936 0.0936 0.1305
0.9057 0.9057 0.8651
0.3810 0.3810 0.1841
0.6186 0.6186 0.8159
```

Calculated values
For the size of the total moment, the calculation gives 0.00 Bohr magnetons per cell. The space group is Cm (8). The total DFT energy (no corrections) is -4.69 eV per atom. The density is 7.36 g cm⁻³.


## TbYGa3Si2 (GGA-PBE)

Data for a geometry-optimized TbYGa3Si2 structure.

Structure (POSCAR):
```
TbYGa3Si2
1.0
5.1470 -2.0337 0.0000
5.1470 2.0337 0.0000
-1.2986 0.0000 6.4903
Ga Si Tb Y
3 2 1 1
Direct
0.6960 0.6960 0.3605
0.9999 0.9999 0.5000
0.3042 0.3042 0.6395
0.0931 0.0931 0.1340
0.9067 0.9067 0.8660
0.3810 0.3810 0.1838
0.6191 0.6191 0.8163
```

Calculated values
For the size of the total moment, the calculation gives 0.00 Bohr magnetons per cell. The space group is Cm (8). The total DFT energy (no corrections) is -4.99 eV per atom. The density is 6.27 g cm⁻³.


## GaSiTc (GGA-PBE)

Data for a geometry-optimized GaSiTc structure.

Structure (POSCAR):
```
GaSiTc
1.0
0.0000 2.9189 2.9189
2.9189 0.0000 2.9189
2.9189 2.9189 0.0000
Ga Si Tc
1 1 1
Direct
0.5000 0.5000 0.5000
0.0000 0.0000 0.0000
0.2500 0.2500 0.2500
```

Calculated values
For the size of the total moment, the calculation gives 0.00 Bohr magnetons per cell. The space group is F-43m (216). The total DFT energy (no corrections) is -6.20 eV per atom. The density is 6.54 g cm⁻³.